Computed, not measured: a geometry-optimized SrHBr2 structure at the PBE level of DFT.

Summary:
- total moment (μB/f.u.) = 0.98
- calculated total energy (eV per atom) = -3.08

a b c (Å): 4.618 5.914 10.509
angles (deg): 90.00 101.58 90.00
Fractional coordinates of all 8 atoms:
Sr1 0.175 0.250 0.339
Sr2 0.825 0.750 0.661
H1 0.063 0.750 0.113
H2 0.937 0.250 0.887
Br1 0.223 0.750 0.440
Br2 0.405 0.750 0.837
Br3 0.595 0.250 0.163
Br4 0.777 0.250 0.560



Computed, not measured: a geometry-optimized SrHBr structure at the PBE level of DFT.

Summary:
- total moment (μB/f.u.) = 0.00
- calculated total energy (eV per atom) = -3.38

a b c (Å): 4.890 4.890 4.890
angles (deg): 60.00 60.00 60.00
Fractional coordinates of all 3 atoms:
Sr1 0.000 0.000 0.000
H1 0.250 0.250 0.250
Br1 0.750 0.750 0.750



Computed, not measured: a geometry-optimized SrHBr structure at the PBE level of DFT.

Summary:
- total moment (μB/f.u.) = 0.00
- calculated total energy (eV per atom) = -3.57

a b c (Å): 4.149 4.149 4.545
angles (deg): 90.00 90.00 120.00
Fractional coordinates of all 3 atoms:
Sr1 0.000 0.000 0.000
H1 0.333 0.667 0.000
Br1 0.667 0.333 0.500